1.
# NaZn4Pd

NaZn4Pd after structural relaxation (PBE, Alexandria).

Unit cell a=4.7516 b=12.9483 c=7.1556 alpha=90.00 beta=90.00 gamma=90.00
Space group Cmcm (No. 63)
Asymmetric unit:
Na: 0.0000 0.1189 0.2500 [4 per cell]
Zn: 0.0000 0.0932 0.7500 [4 per cell]
Zn: 0.0000 0.2755 0.5755 [8 per cell]
Zn: 0.0000 0.5000 0.0000 [4 per cell]
Pd: 0.0000 0.3554 0.2500 [4 per cell]

Magnetic moment: 0.00 Bohr magnetons per cell
Electronic total energy: -2.032 eV/atom
Excess energy over the best structure of this formula in the dataset: 7.51 kJ/mol of atoms
Calculated volume: 440 Å³/cell
Formation energy: -0.097 eV/atom



2.
# Mn3Cr

Mn3Cr after structural relaxation (PBE, Alexandria).

Unit cell a=5.6445 b=5.6445 c=5.6445 alpha=90.00 beta=90.00 gamma=90.00
Space group Fm-3m (No. 225)
Asymmetric unit:
Mn: 0.0000 0.0000 0.0000 [4 per cell]
Mn: 0.2500 0.2500 0.2500 [8 per cell]
Cr: 0.0000 0.0000 0.5000 [4 per cell]

Magnetic moment: 10.61 Bohr magnetons per cell
Electronic total energy: -9.190 eV/atom
Calculated volume: 180 Å³/cell
Formation energy: 0.093 eV/atom



3.
# AlTl2Os

AlTl2Os after structural relaxation (PBE, Alexandria).

Unit cell a=6.8548 b=6.8548 c=6.8548 alpha=90.00 beta=90.00 gamma=90.00
Space group Fm-3m (No. 225)
Asymmetric unit:
Al: 0.0000 0.0000 0.0000 [4 per cell]
Tl: 0.2500 0.2500 0.2500 [8 per cell]
Os: 0.0000 0.0000 0.5000 [4 per cell]

Magnetic moment: 0.00 Bohr magnetons per cell
Electronic total energy: -3.996 eV/atom
Excess energy over the best structure of this formula in the dataset: 66.69 kJ/mol of atoms
Calculated volume: 322 Å³/cell
Formation energy: 0.930 eV/atom